Na2Sc2Ge2PdPt | PBE-GGA | relaxed

Results
Uncorrected energy: -5.00 eV/atom

Cell: 4.596 4.596 6.500 Å, 90.00 90.00 90.00°
Element x y z (fractional)
1 Na 0.000 0.000 0.000
2 Na 0.500 0.500 0.500
3 Sc 0.000 0.500 0.249
4 Sc 0.500 0.000 0.751
5 Ge 0.000 0.500 0.749
6 Ge 0.500 0.000 0.251
7 Pd 0.000 0.000 0.500
8 Pt 0.500 0.500 0.000